## Li17Pd2 (GGA-PBE)

Data for a relaxed structure of Li17Pd2. Values from VASP.

The value obtained for the final energy is -43.22 eV for the cell shown. For the energy relative to the elements, the calculation gives -0.016 eV/atom.

Structure (Quantum ESPRESSO input):
```
&SYSTEM
  ibrav = 0, nat = 19, ntyp = 2
/
ATOMIC_SPECIES
Li 6.94 Li.upf
Pd 106.42 Pd.upf
ATOMIC_POSITIONS crystal
Li 0.434 0.434 0.810
Li 0.434 0.810 0.434
Li 0.087 0.087 0.087
Li 0.913 0.913 0.913
Li 0.000 0.000 0.500
Li 0.500 0.000 0.000
Li 0.000 0.500 0.000
Li 0.324 0.676 0.000
Li 0.000 0.324 0.676
Li 0.676 0.000 0.324
Li 0.676 0.324 0.000
Li 0.000 0.676 0.324
Li 0.324 0.000 0.676
Li 0.566 0.190 0.566
Li 0.566 0.566 0.190
Li 0.190 0.566 0.566
Li 0.810 0.434 0.434
Pd 0.721 0.721 0.721
Pd 0.279 0.279 0.279
CELL_PARAMETERS angstrom
-2.021 2.626 7.073
3.603 -2.539 6.448
4.739 4.665 4.098
```

## KBeGe2H (GGA-PBE)

Data for a relaxed structure of KBeGe2H. Values from VASP.

The value obtained for the final energy is -13.84 eV for the cell shown.

Structure (Quantum ESPRESSO input):
```
&SYSTEM
  ibrav = 0, nat = 5, ntyp = 4
/
ATOMIC_SPECIES
Be 9.01 Be.upf
Ge 72.64 Ge.upf
K 39.10 K.upf
H 1.01 H.upf
ATOMIC_POSITIONS crystal
Be 0.500 0.500 0.500
Ge 0.000 0.000 0.500
Ge 0.500 0.000 0.000
K 0.000 0.500 0.000
H 0.000 0.000 0.000
CELL_PARAMETERS angstrom
-1.582 0.247 -4.053
-4.245 0.092 1.663
0.172 4.350 0.198
```

## La6As3P2H (GGA-PBE)

Data for a relaxed structure of La6As3P2H. Values from VASP.

The value obtained for the final energy is -74.12 eV for the cell shown.

Structure (Quantum ESPRESSO input):
```
&SYSTEM
  ibrav = 0, nat = 12, ntyp = 4
/
ATOMIC_SPECIES
La 138.91 La.upf
As 74.92 As.upf
P 30.97 P.upf
H 1.01 H.upf
ATOMIC_POSITIONS crystal
La 0.332 0.910 0.664
La 0.669 0.579 0.338
La 0.668 0.090 0.336
La 0.002 0.257 0.004
La 0.998 0.743 0.996
La 0.331 0.421 0.662
As 0.500 0.500 0.000
As 0.835 0.165 0.670
As 0.165 0.835 0.330
P 0.836 0.671 0.672
P 0.164 0.329 0.328
H 0.500 0.000 0.000
CELL_PARAMETERS angstrom
4.288 0.000 0.000
0.000 8.568 0.327
-2.144 -2.448 8.979
```

## TaTl3Ge (GGA-PBE)

Data for a relaxed structure of TaTl3Ge. Values from VASP.

The offset from the most stable computed form comes out at 0.00 eV/f.u. The value obtained for the final energy is -18.77 eV for the cell shown. For the energy relative to the elements, the calculation gives 0.959 eV/atom.

Structure (Quantum ESPRESSO input):
```
&SYSTEM
  ibrav = 0, nat = 5, ntyp = 3
/
ATOMIC_SPECIES
Tl 204.38 Tl.upf
Ge 72.64 Ge.upf
Ta 180.95 Ta.upf
ATOMIC_POSITIONS crystal
Tl 0.000 0.500 0.000
Tl 0.000 0.000 0.500
Tl 0.500 0.000 0.000
Ge 0.500 0.500 0.500
Ta 0.000 0.000 0.000
CELL_PARAMETERS angstrom
-1.533 1.863 -4.912
-1.238 -5.102 -1.548
-5.106 0.677 1.851
```

## SbAsPd3 (GGA-PBE)

Data for a relaxed structure of SbAsPd3. Values from VASP.

The offset from the most stable computed form comes out at 2.01 eV/f.u. The value obtained for the final energy is -24.20 eV for the cell shown. For the formation energy from raw total energies, the calculation gives 0.0310 eV per atom.

Structure (Quantum ESPRESSO input):
```
&SYSTEM
  ibrav = 0, nat = 5, ntyp = 3
/
ATOMIC_SPECIES
Sb 121.76 Sb.upf
As 74.92 As.upf
Pd 106.42 Pd.upf
ATOMIC_POSITIONS crystal
Sb 0.500 0.500 0.500
As 0.000 0.000 0.000
Pd 0.000 0.500 0.000
Pd 0.000 0.000 0.500
Pd 0.500 0.000 0.000
CELL_PARAMETERS angstrom
4.699 0.000 0.000
0.000 4.699 0.000
0.000 0.000 4.699
```

## Dy3Er5Tm (GGA-PBE)

Data for a relaxed structure of Dy3Er5Tm. Values from VASP.

The offset from the most stable computed form comes out at 3.17 eV/f.u. The value obtained for the final energy is -72.50 eV for the cell shown. For the energy relative to the elements, the calculation gives 0.538 eV/atom.

Structure (Quantum ESPRESSO input):
```
&SYSTEM
  ibrav = 0, nat = 18, ntyp = 3
/
ATOMIC_SPECIES
Dy 162.50 Dy.upf
Er 167.26 Er.upf
Tm 168.93 Tm.upf
ATOMIC_POSITIONS crystal
Dy 0.697 0.697 0.813
Dy 0.658 0.658 0.364
Dy 0.000 0.000 0.000
Dy 0.000 0.000 0.500
Dy 0.303 0.303 0.187
Dy 0.342 0.342 0.636
Er 0.847 0.344 0.251
Er 0.260 0.740 0.000
Er 0.814 0.814 0.964
Er 0.489 0.489 0.231
Er 0.511 0.511 0.769
Er 0.186 0.186 0.036
Er 0.344 0.847 0.251
Er 0.740 0.260 0.000
Er 0.153 0.656 0.749
Er 0.656 0.153 0.749
Tm 0.146 0.146 0.603
Tm 0.854 0.854 0.397
CELL_PARAMETERS angstrom
-5.548 -5.493 -5.200
5.691 -5.160 -5.383
0.324 -11.400 -0.772
```

## Sm2MgPb3 (GGA-PBE)

Data for a relaxed structure of Sm2MgPb3. Values from VASP.

The offset from the most stable computed form comes out at 0.00 eV/f.u. The value obtained for the final energy is -24.79 eV for the cell shown. For the energy relative to the elements, the calculation gives -0.439 eV/atom.

Structure (Quantum ESPRESSO input):
```
&SYSTEM
  ibrav = 0, nat = 6, ntyp = 3
/
ATOMIC_SPECIES
Sm 150.36 Sm.upf
Mg 24.30 Mg.upf
Pb 207.20 Pb.upf
ATOMIC_POSITIONS crystal
Sm 0.153 0.500 0.306
Sm 0.847 0.500 0.694
Mg 0.000 0.000 0.000
Pb 0.330 0.000 0.660
Pb 0.670 0.000 0.340
Pb 0.500 0.500 0.000
CELL_PARAMETERS angstrom
0.596 4.470 0.199
-3.075 0.571 -3.622
-6.202 -1.675 5.002
```

## Li2LuSi (GGA-PBE)

Data for a relaxed structure of Li2LuSi. Values from VASP.

The value obtained for the final energy is -14.61 eV for the cell shown. For the formation energy from raw total energies, the calculation gives -0.2098 eV per atom.

Structure (Quantum ESPRESSO input):
```
&SYSTEM
  ibrav = 0, nat = 4, ntyp = 3
/
ATOMIC_SPECIES
Si 28.09 Si.upf
Lu 174.97 Lu.upf
Li 6.94 Li.upf
ATOMIC_POSITIONS crystal
Si 0.500 0.500 0.500
Lu 0.000 0.000 0.000
Li 0.250 0.250 0.250
Li 0.750 0.750 0.750
CELL_PARAMETERS angstrom
4.475 0.000 0.000
2.238 3.876 0.000
2.238 1.292 3.654
```

Look up the final energy of the third one.
-74.12 eV for the cell shown